Record 1
Zr4CdAu (GGA-PBE, optimized geometry); energy above the lowest structure with this stoichiometry = 43.1 kJ per mole of atoms
1.0
0.000 4.048 4.048
4.048 0.000 4.048
4.048 4.048 0.000
Zr Cd Au
4 1 1
direct
0.125 0.125 0.125 Zr
0.125 0.125 0.625 Zr
0.125 0.625 0.125 Zr
0.625 0.125 0.125 Zr
0.500 0.500 0.500 Cd
0.750 0.750 0.750 Au

=====

Record 2
Density functional theory data (GGA-PBE) for a geometry-optimized ZrCdAu2 structure.

Cell and atoms, written as POSCAR:
```
ZrCdAu2
1.0
-2.273 2.273 3.740
2.273 -2.273 3.740
2.273 2.273 -3.740
Zr Cd Au
1 1 2
direct
0.000 0.000 0.000 Zr
0.250 0.750 0.500 Cd
0.500 0.500 0.000 Au
0.750 0.250 0.500 Au
```

=====

Record 3
Density functional theory data (GGA-PBE) for a geometry-optimized ZrCdAu2 structure.

Cell and atoms, written as POSCAR:
```
ZrCdAu2
1.0
3.086 0.000 0.000
0.000 3.433 0.000
-0.030 0.000 7.496
Zr Cd Au
1 1 2
direct
0.000 0.000 0.000 Zr
0.000 0.000 0.500 Cd
0.498 0.500 0.754 Au
0.502 0.500 0.246 Au
```

=====

Record 4
Density functional theory data (GGA-PBE) for a geometry-optimized Zr5CdAu4 structure.

Cell and atoms, written as POSCAR:
```
Zr5CdAu4
1.0
3.632 0.000 0.000
0.000 3.632 0.000
0.000 0.000 15.598
Zr Cd Au
5 1 4
direct
0.000 0.000 0.000 Zr
0.000 0.000 0.195 Zr
0.000 0.000 0.392 Zr
0.000 0.000 0.608 Zr
0.000 0.000 0.805 Zr
0.500 0.500 0.500 Cd
0.500 0.500 0.099 Au
0.500 0.500 0.299 Au
0.500 0.500 0.701 Au
0.500 0.500 0.901 Au
```

=====

Record 5
Density functional theory data (GGA-PBE) for a geometry-optimized ZrCdAu2 structure.

Cell and atoms, written as POSCAR:
```
ZrCdAu2
1.0
1.613 0.931 9.184
-1.613 0.931 9.184
0.000 -1.862 9.184
Zr Cd Au
1 1 2
direct
0.000 0.000 0.000 Zr
0.500 0.500 0.500 Cd
0.252 0.252 0.252 Au
0.748 0.748 0.748 Au
```

=====

Record 6
Density functional theory data (GGA-PBE) for a geometry-optimized ZrCdAu2 structure.

Cell and atoms, written as POSCAR:
```
ZrCdAu2
1.0
3.178 0.000 0.000
0.000 3.905 0.000
0.000 0.000 6.407
Zr Cd Au
1 1 2
direct
0.000 0.000 0.000 Zr
0.500 0.500 0.705 Cd
0.000 0.000 0.475 Au
0.500 0.500 0.222 Au
```

=====

no.,energy of formation from the pure elements (eV/atom),M_tot (μB per formula unit),total energy (eV per atom)
1,0.19,0.0,-6.2055
2,-0.31,0.0,-4.3110
3,-0.40,0.0,-4.4071
4,-0.37,0.0,-6.0481
5,-0.23,0.0,-4.2341
6,-0.27,0.0,-4.2722